Crystalline Al4SiCl at its relaxed geometry, computed with GGA-PBE.

As for the uncorrected formation energy: 0.316 eV/atom.

abc: 7.720 7.720 7.720
angles: 90.00 90.00 90.00
Space group F-43m (No. 216)
One atom of each set of equivalent atoms:
Al 0.124 0.124 0.376 (multiplicity 16)
Si 0.250 0.250 0.750 (multiplicity 4)
Cl 0.000 0.000 0.000 (multiplicity 4)

Crystalline PmNd6Sm3Tm2 at its relaxed geometry, computed with GGA-PBE.

For the formation energy, the calculation gives 0.17 eV per formula unit.

abc: 6.305 10.922 11.987
angles: 90.00 100.09 90.00
Space group C2/m (No. 12)
One atom of each set of equivalent atoms:
Pm 0.000 0.000 0.000 (multiplicity 2)
Nd 0.249 0.500 0.247 (multiplicity 4)
Nd 0.250 0.167 0.248 (multiplicity 8)
Sm 0.000 0.167 0.500 (multiplicity 4)
Sm 0.000 0.500 0.500 (multiplicity 2)
Tm 0.000 0.333 0.000 (multiplicity 4)

Crystalline LiTbAl2Cu4 at its relaxed geometry, computed with GGA-PBE.

For the formation energy, the calculation gives -2.14 eV per formula unit.

abc: 4.2272 4.2272 23.8288
angles: 90.00 90.00 120.00
Space group R-3m (No. 166, hexagonal axes)
One atom of each set of equivalent atoms:
Li 0.0000 0.0000 0.0000 (multiplicity 3)
Tb 0.0000 0.0000 0.5000 (multiplicity 3)
Al 0.0000 0.0000 0.2601 (multiplicity 6)
Cu 0.0000 0.0000 0.0985 (multiplicity 6)
Cu 0.0000 0.0000 0.3710 (multiplicity 6)

Crystalline PmGdPtRh at its relaxed geometry, computed with GGA-PBE.

For the formation energy, the calculation gives -3.72 eV per formula unit.

abc: 7.050 7.050 7.050
angles: 90.00 90.00 90.00
Space group F-43m (No. 216)
One atom of each set of equivalent atoms:
Pm 0.000 0.000 0.000 (multiplicity 4)
Gd 0.000 0.000 0.500 (multiplicity 4)
Pt 0.250 0.250 0.750 (multiplicity 4)
Rh 0.250 0.250 0.250 (multiplicity 4)

Crystalline HgTeIF2 at its relaxed geometry, computed with GGA-PBE.

As for the uncorrected formation energy: -0.923 eV/atom.

abc: 4.450 4.450 6.212
angles: 90.00 90.00 90.00
Space group P4/mmm (No. 123)
One atom of each set of equivalent atoms:
Hg 0.000 0.000 0.000 (multiplicity 1)
Te 0.000 0.000 0.500 (multiplicity 1)
I 0.500 0.500 0.000 (multiplicity 1)
F 0.000 0.500 0.500 (multiplicity 2)

Crystalline In4SCl5 at its relaxed geometry, computed with GGA-PBE.

As for the uncorrected formation energy: -0.786 eV/atom.

abc: 8.394 9.862 7.380
angles: 90.00 90.00 90.00
Space group Pmmn (No. 59, origin choice 2)
One atom of each set of equivalent atoms:
In 0.039 0.250 0.098 (multiplicity 4)
In 0.250 0.521 0.517 (multiplicity 4)
S 0.250 0.750 0.677 (multiplicity 2)
Cl 0.027 0.544 0.267 (multiplicity 8)
Cl 0.250 0.250 0.474 (multiplicity 2)

Crystalline SrSmTlBr6 at its relaxed geometry, computed with GGA-PBE.

As for the uncorrected formation energy: -1.745 eV/atom.

abc: 7.7543 7.7543 14.1363
angles: 90.00 90.00 120.00
Space group P-31c (No. 163)
One atom of each set of equivalent atoms:
Sr 0.3333 0.6667 0.2500 (multiplicity 2)
Sm 0.3333 0.6667 0.7500 (multiplicity 2)
Tl 0.0000 0.0000 0.0000 (multiplicity 2)
Br 0.0188 0.3742 0.6332 (multiplicity 12)

Crystalline AcZr2Mn at its relaxed geometry, computed with GGA-PBE.

For the formation energy, the calculation gives 1.90 eV per formula unit.

abc: 3.3840 3.3840 30.6725
angles: 90.00 90.00 120.00
Space group R-3m (No. 166, hexagonal axes)
One atom of each set of equivalent atoms:
Ac 0.0000 0.0000 0.0000 (multiplicity 3)
Zr 0.0000 0.0000 0.1095 (multiplicity 6)
Mn 0.0000 0.0000 0.5000 (multiplicity 3)

Table of N(E_F) (states/eV/f.u.), in record order: 2.850; 15.473; 3.221; 2.239; 2.651; 3.044; 0.000; 4.515